Record 1
ScReIr2: single point on PBEsol structure, SCAN. Values from VASP.

## Properties
DFT formation energy: -1.82 eV per formula unit
polymorph energy (0 for the lowest one): 91 meV/atom
E_tot: -57.34 eV/atom

Cell and atoms, written as Quantum ESPRESSO input:
```
&SYSTEM
  ibrav = 0, nat = 4, ntyp = 3
/
ATOMIC_SPECIES
Sc 44.96 Sc.upf
Re 186.21 Re.upf
Ir 192.22 Ir.upf
ATOMIC_POSITIONS angstrom
Sc 0.0000 0.0000 0.0000
Re 6.9689 0.0000 1.5086
Ir 1.6596 0.0000 3.7542
Ir 4.3721 0.0000 2.2926
CELL_PARAMETERS angstrom
4.6761 -1.3999 0.0000
4.6761 1.3999 0.0000
-0.8160 0.0000 4.6488
```

Record 2
ScNbAsBr2: single point on PBEsol structure, SCAN. Values from VASP.

## Properties
E_tot: -21.34 eV/atom
E_form (uncorrected): -0.2 eV/f.u.

Cell and atoms, written as Quantum ESPRESSO input:
```
&SYSTEM
  ibrav = 0, nat = 5, ntyp = 4
/
ATOMIC_SPECIES
Sc 44.96 Sc.upf
Nb 92.91 Nb.upf
As 74.92 As.upf
Br 79.90 Br.upf
ATOMIC_POSITIONS angstrom
Sc 0.0000 0.0000 0.0000
Nb 2.5023 2.5023 2.5537
As 2.5023 2.5023 0.0000
Br 0.0000 2.5023 2.5537
Br 2.5023 0.0000 2.5537
CELL_PARAMETERS angstrom
5.0047 0.0000 0.0000
0.0000 5.0047 0.0000
0.0000 0.0000 5.1074
```

Record 3
LaMgZn2Ga: single point on PBEsol structure, SCAN. Values from VASP.

## Properties
DFT formation energy: 5.57 eV per formula unit
E_tot: -17.18 eV/atom

Cell and atoms, written as Quantum ESPRESSO input:
```
&SYSTEM
  ibrav = 0, nat = 5, ntyp = 4
/
ATOMIC_SPECIES
La 138.91 La.upf
Mg 24.30 Mg.upf
Zn 65.41 Zn.upf
Ga 69.72 Ga.upf
ATOMIC_POSITIONS angstrom
La 0.0000 0.0000 0.0000
Mg 0.0000 0.0000 3.0760
Zn 0.0000 2.7434 0.0000
Zn 2.7434 0.0000 0.0000
Ga 2.7434 2.7434 3.0760
CELL_PARAMETERS angstrom
5.4868 0.0000 0.0000
0.0000 5.4868 0.0000
0.0000 0.0000 6.1520
```

Record 4
TlCr3Pd: single point on PBEsol structure, SCAN. Values from VASP.

## Properties
DFT formation energy: 4.27 eV per formula unit
E_tot: -31.20 eV/atom

Cell and atoms, written as Quantum ESPRESSO input:
```
&SYSTEM
  ibrav = 0, nat = 5, ntyp = 3
/
ATOMIC_SPECIES
Tl 204.38 Tl.upf
Cr 52.00 Cr.upf
Pd 106.42 Pd.upf
ATOMIC_POSITIONS angstrom
Tl 0.0000 0.0000 0.0000
Cr 0.0000 2.4033 2.4033
Cr 2.4033 0.0000 2.4033
Cr 2.4033 2.4033 0.0000
Pd 2.4033 2.4033 2.4033
CELL_PARAMETERS angstrom
4.8065 0.0000 0.0000
0.0000 4.8065 0.0000
0.0000 0.0000 4.8065
```

Record 5
TiTlCu2F: single point on PBEsol structure, SCAN. Values from VASP.

## Properties
E_tot: -24.07 eV/atom
E_form (uncorrected): 2.0 eV/f.u.

Cell and atoms, written as Quantum ESPRESSO input:
```
&SYSTEM
  ibrav = 0, nat = 5, ntyp = 4
/
ATOMIC_SPECIES
Ti 47.87 Ti.upf
Tl 204.38 Tl.upf
Cu 63.55 Cu.upf
F 19.00 F.upf
ATOMIC_POSITIONS angstrom
Ti 0.0000 0.0000 0.0000
Tl 2.3954 2.3954 2.2513
Cu 0.0000 2.3954 2.2513
Cu 2.3954 0.0000 2.2513
F 2.3954 2.3954 0.0000
CELL_PARAMETERS angstrom
4.7907 0.0000 0.0000
0.0000 4.7907 0.0000
0.0000 0.0000 4.5026
```

Record 6
Zr2CrAu: single point on PBEsol structure, SCAN. Values from VASP.

## Properties
DFT formation energy: -0.92 eV per formula unit
polymorph energy (0 for the lowest one): 86 meV/atom
E_tot: -37.47 eV/atom

Cell and atoms, written as Quantum ESPRESSO input:
```
&SYSTEM
  ibrav = 0, nat = 4, ntyp = 3
/
ATOMIC_SPECIES
Zr 91.22 Zr.upf
Cr 52.00 Cr.upf
Au 196.97 Au.upf
ATOMIC_POSITIONS angstrom
Zr 0.0000 0.0000 0.0000
Zr 1.6392 1.6392 1.6392
Cr 3.2784 3.2784 3.2784
Au 4.9176 4.9176 4.9176
CELL_PARAMETERS angstrom
0.0000 3.2784 3.2784
3.2784 0.0000 3.2784
3.2784 3.2784 0.0000
```

Record 7
ZnMo3: single point on PBEsol structure, SCAN. Values from VASP.

## Properties
DFT formation energy: 0.09 eV per formula unit
polymorph energy (0 for the lowest one): 0 meV/atom
E_tot: -29.52 eV/atom

Cell and atoms, written as Quantum ESPRESSO input:
```
&SYSTEM
  ibrav = 0, nat = 8, ntyp = 2
/
ATOMIC_SPECIES
Zn 65.41 Zn.upf
Mo 95.94 Mo.upf
ATOMIC_POSITIONS angstrom
Zn 0.0000 0.0000 0.0000
Zn 2.4499 2.4499 2.4499
Mo 0.0000 1.2250 2.4499
Mo 0.0000 3.6749 2.4499
Mo 1.2250 2.4499 0.0000
Mo 2.4499 0.0000 1.2250
Mo 2.4499 0.0000 3.6749
Mo 3.6749 2.4499 0.0000
CELL_PARAMETERS angstrom
4.8998 0.0000 0.0000
0.0000 4.8998 0.0000
0.0000 0.0000 4.8998
```

Record 8
Li2CrRe: single point on PBEsol structure, SCAN. Values from VASP.

## Properties
DFT formation energy: 2.08 eV per formula unit
polymorph energy (0 for the lowest one): 223 meV/atom
E_tot: -23.05 eV/atom

Cell and atoms, written as Quantum ESPRESSO input:
```
&SYSTEM
  ibrav = 0, nat = 4, ntyp = 3
/
ATOMIC_SPECIES
Li 6.94 Li.upf
Cr 52.00 Cr.upf
Re 186.21 Re.upf
ATOMIC_POSITIONS angstrom
Li 0.0000 0.0000 2.2388
Li 0.0000 0.0000 6.7931
Cr 1.2208 1.2208 4.5159
Re 1.2208 1.2208 0.0000
CELL_PARAMETERS angstrom
2.4416 0.0000 0.0000
0.0000 2.4416 0.0000
0.0000 0.0000 9.0319
```

Record 9
Sc2TcP: single point on PBEsol structure, SCAN. Values from VASP.

## Properties
DFT formation energy: -1.77 eV per formula unit
E_tot: -18.92 eV/atom

Cell and atoms, written as Quantum ESPRESSO input:
```
&SYSTEM
  ibrav = 0, nat = 4, ntyp = 3
/
ATOMIC_SPECIES
Sc 44.96 Sc.upf
Tc 98.00 Tc.upf
P 30.97 P.upf
ATOMIC_POSITIONS angstrom
Sc 0.0000 0.0000 0.0000
Sc 1.5597 1.5597 1.5597
Tc 4.6790 4.6790 4.6790
P 3.1193 3.1193 3.1193
CELL_PARAMETERS angstrom
0.0000 3.1193 3.1193
3.1193 0.0000 3.1193
3.1193 3.1193 0.0000
```

Record 10
ZrAlPd3: single point on PBEsol structure, SCAN. Values from VASP.

## Properties
DFT formation energy: -0.86 eV per formula unit
E_tot: -27.53 eV/atom

Cell and atoms, written as Quantum ESPRESSO input:
```
&SYSTEM
  ibrav = 0, nat = 5, ntyp = 3
/
ATOMIC_SPECIES
Zr 91.22 Zr.upf
Al 26.98 Al.upf
Pd 106.42 Pd.upf
ATOMIC_POSITIONS angstrom
Zr 0.0000 0.0000 0.0000
Al 2.2393 2.2393 2.2393
Pd 0.0000 2.2393 2.2393
Pd 2.2393 0.0000 2.2393
Pd 2.2393 2.2393 0.0000
CELL_PARAMETERS angstrom
4.4786 0.0000 0.0000
0.0000 4.4786 0.0000
0.0000 0.0000 4.4786
```

Record 11
Ca2FeHg: single point on PBEsol structure, SCAN. Values from VASP.

## Properties
DFT formation energy: 0.37 eV per formula unit
E_tot: -26.31 eV/atom

Cell and atoms, written as Quantum ESPRESSO input:
```
&SYSTEM
  ibrav = 0, nat = 4, ntyp = 3
/
ATOMIC_SPECIES
Ca 40.08 Ca.upf
Fe 55.84 Fe.upf
Hg 200.59 Hg.upf
ATOMIC_POSITIONS angstrom
Ca 0.0000 0.0000 0.0000
Ca 1.7484 1.7484 3.1528
Fe 0.0000 0.0000 5.0384
Hg 1.7484 1.7484 6.2417
CELL_PARAMETERS angstrom
3.4968 0.0000 0.0000
0.0000 3.4968 0.0000
0.0000 0.0000 8.2013
```

Record 12
CaAlBr4: single point on PBEsol structure, SCAN. Values from VASP.

## Properties
E_tot: -15.99 eV/atom
E_form (uncorrected): -0.7 eV/f.u.

Cell and atoms, written as Quantum ESPRESSO input:
```
&SYSTEM
  ibrav = 0, nat = 6, ntyp = 3
/
ATOMIC_SPECIES
Ca 40.08 Ca.upf
Al 26.98 Al.upf
Br 79.90 Br.upf
ATOMIC_POSITIONS angstrom
Ca 0.0000 0.0000 0.0000
Al 6.6729 6.6729 6.6729
Br 3.3326 3.3326 3.3326
Br 5.5646 5.5646 3.3326
Br 5.5646 3.3326 5.5646
Br 3.3326 5.5646 5.5646
CELL_PARAMETERS angstrom
0.0000 4.4486 4.4486
4.4486 0.0000 4.4486
4.4486 4.4486 0.0000
```